[1]
YLuSe3, relaxed, DFT PBE; uncorrected formation energy = -5.534 eV/f.u.; distance to the lowest polymorph of the same formula = 773 meV per atom; SG = Pm-3m, No. 221
1.0
-2.7187 -3.8865 -2.2512
4.2545 -3.0718 0.1652
-1.4394 -1.7388 4.7401
Y Lu Se
1 1 3
direct
0.5000 0.5000 0.5000 Y
0.0000 0.0000 0.0000 Lu
0.0000 0.0000 0.5000 Se
0.0000 0.5000 0.0000 Se
0.5000 0.0000 0.0000 Se

[2]
Cs3KTi, relaxed, DFT PBE; distance to the lowest polymorph of the same formula = 276 meV per atom; SG = Pm-3m, No. 221; formation enthalpy at 0 K = 1.014 eV per atom
1.0
8.0242 0.0000 0.0000
0.0000 8.0242 0.0000
0.0000 0.0000 8.0242
Cs K Ti
3 1 1
direct
0.0000 0.0000 0.5000 Cs
0.0000 0.5000 0.0000 Cs
0.5000 0.0000 0.0000 Cs
0.0000 0.0000 0.0000 K
0.5000 0.5000 0.5000 Ti

[3]
KYMo2, relaxed, DFT PBE; distance to the lowest polymorph of the same formula = 495 meV per atom; SG = P4/mmm, No. 123; formation enthalpy at 0 K = 1.028 eV per atom
1.0
-0.5272 2.5748 -1.0756
1.0347 -0.8362 -2.5089
-10.1222 -3.3499 -3.0579
Y Mo K
1 2 1
direct
0.5000 0.5000 0.2500 Y
0.0000 0.0000 0.4719 Mo
0.0000 0.0000 0.0281 Mo
0.5000 0.5000 0.7500 K

[4]
KNi2Ag, relaxed, DFT PBE; distance to the lowest polymorph of the same formula = 327 meV per atom; SG = Immm, No. 71; formation enthalpy at 0 K = 0.737 eV per atom
1.0
-0.9456 -5.7968 0.5908
4.5217 -3.7275 0.7109
-3.4488 4.4649 1.7368
Ag K Ni
1 1 2
direct
0.7500 0.2500 0.5000 Ag
0.2500 0.7500 0.5000 K
0.9732 0.9732 0.0000 Ni
0.5268 0.5268 0.0000 Ni

Copy entry 3 word for word.
KYMo2, relaxed, DFT PBE; distance to the lowest polymorph of the same formula = 495 meV per atom; SG = P4/mmm, No. 123; formation enthalpy at 0 K = 1.028 eV per atom
1.0
-0.5272 2.5748 -1.0756
1.0347 -0.8362 -2.5089
-10.1222 -3.3499 -3.0579
Y Mo K
1 2 1
direct
0.5000 0.5000 0.2500 Y
0.0000 0.0000 0.4719 Mo
0.0000 0.0000 0.0281 Mo
0.5000 0.5000 0.7500 K

Question: The lowest distance to the lowest polymorph of the same formula belongs to which entry?
Answer: Cs3KTi